A relaxed TiCdP2Cl crystal, computed with PBE.

Results
**SG**: P4/mmm (123)
**DFT total energy**: -22.13 eV/f.u.
**Relative energy among the computed polymorphs**: 0.0000 eV/atom
**Formation energy (no corrections)**: -0.7 eV per formula unit

Unit cell a=4.808 b=4.808 c=4.742 alpha=90.00 beta=90.00 gamma=90.00
Atoms (fractional coordinates):
Ti  0.000  0.000  0.000
Cd  0.500  0.500  0.500
P  0.000  0.500  0.000
P  0.500  0.000  0.000
Cl  0.000  0.000  0.500



A relaxed CdAs crystal, computed with PBE.

Results
**SG**: P4/mmm (123)
**DFT total energy**: -5.18 eV/f.u.
**Relative energy among the computed polymorphs**: 0.2757 eV/atom
**Formation enthalpy at 0 K**: 0.194 eV/atom

Unit cell a=3.978 b=3.978 c=2.786 alpha=90.00 beta=90.00 gamma=90.00
Atoms (fractional coordinates):
Cd  0.000  0.000  0.000
As  0.500  0.500  0.500



A relaxed AgW crystal, computed with PBE.

Results
**SG**: Pm-3m (221)
**DFT total energy**: -13.40 eV/f.u.
**Relative energy among the computed polymorphs**: 0.8594 eV/atom
**Formation enthalpy at 0 K**: 1.202 eV/atom

Unit cell a=3.221 b=3.221 c=3.221 alpha=90.00 beta=90.00 gamma=90.00
Atoms (fractional coordinates):
Ag  0.000  0.000  0.000
W  0.500  0.500  0.500



A relaxed Pu3FeGe3 crystal, computed with PBE.

Results
**SG**: C2/m (12)
**DFT total energy**: -67.73 eV/f.u.
**Formation enthalpy at 0 K**: -0.346 eV/atom

Unit cell a=5.623 b=5.623 c=13.450 alpha=107.72 beta=107.72 gamma=45.78
Atoms (fractional coordinates):
Pu  0.034  0.034  0.379
Pu  0.064  0.064  0.903
Pu  0.275  0.275  0.212
Pu  0.725  0.725  0.788
Pu  0.936  0.936  0.097
Pu  0.966  0.966  0.621
Fe  0.242  0.242  0.573
Fe  0.758  0.758  0.427
Ge  0.364  0.364  0.939
Ge  0.366  0.366  0.445
Ge  0.412  0.412  0.752
Ge  0.588  0.588  0.248
Ge  0.634  0.634  0.555
Ge  0.636  0.636  0.061